[1]
Density functional theory data (PBE-GGA) for a geometry-optimized Nd3Ho2NpN6 structure.

Cell and atoms, written as extended XYZ:
```
12
Lattice="3.044 -5.272 0.000 3.044 5.272 0.000 -2.030 0.000 5.815" Properties=species:S:1:pos:R:3 pbc="T T T"
Nd 0.000 0.000 0.000
Nd 3.044 1.776 0.000
Nd 3.044 -1.776 0.000
Ho 2.029 3.517 2.908
Ho 2.029 -3.517 2.908
Np 2.029 0.000 2.908
N 1.072 1.658 1.618
N 0.113 0.000 4.209
N 1.072 -1.658 1.618
N 2.986 1.658 4.197
N 3.945 0.000 1.606
N 2.986 -1.658 4.197
```

Results
Crystal system: monoclinic
Total moment in μB per formula unit: 2.25
Symmetry: No. 12
Calculated total energy in eV/atom: -8.665
Formation energy without anion corrections in eV/f.u.: -17.62

=====

[2]
Density functional theory data (PBE-GGA) for a geometry-optimized Sr4TmHg5 structure.

Cell and atoms, written as extended XYZ:
```
10
Lattice="3.902 0.000 0.000 0.000 3.902 0.000 0.000 0.000 19.894" Properties=species:S:1:pos:R:3 pbc="T T T"
Sr 0.000 0.000 2.061
Sr 0.000 0.000 6.162
Sr 0.000 0.000 13.733
Sr 0.000 0.000 17.833
Tm 0.000 0.000 9.947
Hg 1.951 1.951 0.000
Hg 1.951 1.951 4.099
Hg 1.951 1.951 8.294
Hg 1.951 1.951 11.601
Hg 1.951 1.951 15.795
```

Results
Crystal system: tetragonal
Total moment in μB per formula unit: 0.00
Symmetry: No. 123
Calculated total energy in eV/atom: -1.781

=====

[3]
Density functional theory data (PBE-GGA) for a geometry-optimized TiAuBr structure.

Cell and atoms, written as extended XYZ:
```
6
Lattice="14.696 0.000 0.000 0.000 1.609 2.787 0.000 -1.609 2.787" Properties=species:S:1:pos:R:3 pbc="T T T"
Ti 2.074 0.000 0.000
Ti 12.622 0.000 0.000
Au 0.000 0.000 3.716
Au 7.348 0.000 1.737
Br 3.853 0.000 3.717
Br 10.843 0.000 3.717
```

Results
Crystal system: orthorhombic
Total moment in μB per formula unit: 0.01
Energy relative to the lowest polymorph listed for this composition in meV per atom: 0
Symmetry: No. 38
Calculated total energy in eV/atom: -4.655
Formation energy without anion corrections in eV/f.u.: -1.12